# 1
Density functional theory data (PBE-GGA) for crystalline KCu2Tc at its relaxed geometry.

Values from the calculation:
* energy of formation from the pure elements: 1166 meV/atom
* symmetry: No. 225
* V: 18.49 A^3/atom

abc: 4.7116 4.7116 4.7116
angles: 60.00 60.00 60.00
With the nearest neighbours (Å) after each atom.
Fractional coordinates of all 4 atoms:
1 K 0.0000 0.0000 0.0000  8 Cu 2.89
2 Cu 0.2500 0.2500 0.2500  4 Tc 2.89, 4 K 2.89
3 Cu 0.7500 0.7500 0.7500  4 Tc 2.89, 4 K 2.89
4 Tc 0.5000 0.5000 0.5000  8 Cu 2.89

# 2
Density functional theory data (PBE-GGA) for crystalline GaCu3Pd at its relaxed geometry.

Values from the calculation:
* energy of formation from the pure elements: 208 meV/atom
* symmetry: No. 119
* V: 17.58 A^3/atom

abc: 9.1475 9.1475 9.1475
angles: 151.33 151.33 40.99
With the nearest neighbours (Å) after each atom.
Fractional coordinates of all 10 atoms:
1 Ga 0.0000 0.0000 0.0000  4 Cu 2.41
2 Ga 0.7500 0.2500 0.5000  4 Cu 2.43, 4 Pd 2.56
3 Cu 0.0996 0.5996 0.5000  4 Cu 2.56, 2 Pd 2.65, 2 Ga 2.84
4 Cu 0.3725 0.1247 0.2478  2 Cu 2.24-2.28, 2 Ga 2.41-2.43
5 Cu 0.4004 0.9004 0.5000  4 Cu 2.56, 2 Pd 2.65, 2 Ga 2.84
6 Cu 0.8753 0.1231 0.2478  2 Cu 2.24-2.28, 2 Ga 2.41-2.43
7 Cu 0.8753 0.6275 0.7522  2 Cu 2.24-2.28, 2 Ga 2.41-2.43
8 Cu 0.8769 0.1247 0.7522  2 Cu 2.24-2.28, 2 Ga 2.41-2.43
9 Pd 0.3196 0.3196 0.0000  2 Ga 2.56, 6 Cu 2.65-2.71
10 Pd 0.6804 0.6804 0.0000  2 Ga 2.56, 6 Cu 2.65-2.71